Entry 1:
A plane-wave DFT calculation with PBE-GGA was carried out for a geometry-optimized LaDy2Ho5Tm structure.

Calculated values
- DOS(E_F): 1.33 states/eV per atom
- Calculated formation energy: 0.290 eV/atom
- SG: I4/mcm, No. 140
- Total energy: -77.8 eV for the cell shown
- Size of the total moment: 0.0 μB/f.u.

a b c (Å): 8.9740 8.9740 9.6689
angles (deg): 117.65 117.65 90.00
Closest atoms and distances in Å follow each position.
Fractional coordinates of all 18 atoms:
Ho 0.4258 0.3348 0.2606  1 Dy 3.01, 1 Tm 3.13
Ho 0.6652 0.1652 0.7394  1 Dy 3.01, 1 Tm 3.13
Ho 0.9258 0.4258 0.2606  1 Dy 3.01, 1 Tm 3.13
Ho 0.0000 0.0000 0.0000  4 Dy 3.62, 2 La 3.65, 8 Ho 3.74
Ho 0.8348 0.9258 0.2606  1 Dy 3.01, 1 Tm 3.13
Ho 0.3348 0.8348 0.2606  1 Dy 3.01, 1 Tm 3.13
Ho 0.5742 0.6652 0.7394  1 Dy 3.01, 1 Tm 3.13
Ho 0.0742 0.5742 0.7394  1 Dy 3.01, 1 Tm 3.13
Ho 0.1652 0.0742 0.7394  1 Dy 3.01, 1 Tm 3.13
Ho 0.5000 0.5000 0.0000  4 Dy 3.62, 2 La 3.65, 8 Ho 3.74
Tm 0.7500 0.2500 0.5000  4 Ho 3.13
Tm 0.2500 0.7500 0.5000  4 Ho 3.13
Dy 0.8879 0.6121 0.0000  1 Dy 2.85, 2 Ho 3.01
Dy 0.3879 0.8879 0.0000  1 Dy 2.85, 2 Ho 3.01
Dy 0.6121 0.1121 0.0000  1 Dy 2.85, 2 Ho 3.01
Dy 0.1121 0.3879 0.0000  1 Dy 2.85, 2 Ho 3.01
La 0.7500 0.7500 0.5000  10 Ho 3.65-3.67
La 0.2500 0.2500 0.5000  10 Ho 3.65-3.67

Entry 2:
A plane-wave DFT calculation with PBE-GGA was carried out for a geometry-optimized YGa2Bi structure.

Calculated values
- DOS(E_F): 0.30 states/eV per atom
- Calculated formation energy: -0.417 eV/atom
- SG: P4/mmm, No. 123
- Total energy: -18.1 eV for the cell shown
- Size of the total moment: 0.0 μB/f.u.

a b c (Å): 4.3915 4.6378 4.6378
angles (deg): 90.00 90.00 90.00
Closest atoms and distances in Å follow each position.
Fractional coordinates of all 4 atoms:
Ga 0.0000 0.0000 0.5000  4 Bi 3.19, 4 Y 3.19, 4 Ga 3.28
Ga 0.0000 0.5000 0.0000  4 Bi 3.19, 4 Y 3.19, 4 Ga 3.28
Y 0.5000 0.0000 0.0000  8 Ga 3.19, 4 Bi 3.28
Bi 0.5000 0.5000 0.5000  8 Ga 3.19, 4 Y 3.28

Entry 3:
A plane-wave DFT calculation with PBE-GGA was carried out for a geometry-optimized CsIF2 structure.

Calculated values
- DOS(E_F): 0.06 states/eV per atom
- ΔE_f (raw): -1.4546 eV per atom
- SG: I-42d, No. 122
- Polymorph energy (0 for the lowest one): 452 meV/atom
- Total energy: -23.9 eV for the cell shown
- Size of the total moment: 0.0 μB/f.u.

a b c (Å): 5.3446 5.3446 8.9288
angles (deg): 72.59 72.59 90.00
Closest atoms and distances in Å follow each position.
Fractional coordinates of all 8 atoms:
F 0.4891 0.1250 0.2500  2 I 2.50
F 0.8750 0.7391 0.7500  2 I 2.50
F 0.2609 0.6250 0.2500  2 I 2.50
F 0.3750 0.5109 0.7500  2 I 2.50
Cs 0.0000 0.0000 0.0000  4 F 3.18
Cs 0.7500 0.2500 0.5000  4 F 3.18
I 0.2500 0.7500 0.5000  4 F 2.50
I 0.5000 0.5000 0.0000  4 F 2.50

Entry 4:
A plane-wave DFT calculation with PBE-GGA was carried out for a geometry-optimized Pr4S5Cl structure.

Calculated values
- DOS(E_F): 0.08 states/eV per atom
- ΔE_f (raw): -1.8604 eV per atom
- SG: Pmmn, No. 59
- Total energy: -120.4 eV for the cell shown
- Size of the total moment: 1.0 μB/f.u.

a b c (Å): 6.9570 8.9395 9.6182
angles (deg): 90.00 90.00 90.00
Closest atoms and distances in Å follow each position.
Fractional coordinates of all 20 atoms:
S 0.7470 0.7381 0.2934  3 Pr 2.79-2.92
S 0.2029 0.0000 0.5000  4 Pr 2.73-2.75
S 0.2530 0.2381 0.2066  3 Pr 2.79-2.92
S 0.7470 0.2619 0.2934  3 Pr 2.79-2.92
S 0.2530 0.7619 0.7934  3 Pr 2.79-2.92
S 0.2530 0.2381 0.7934  3 Pr 2.79-2.92
S 0.2530 0.7619 0.2066  3 Pr 2.79-2.92
S 0.7470 0.7381 0.7066  3 Pr 2.79-2.92
S 0.7470 0.2619 0.7066  3 Pr 2.79-2.92
S 0.7971 0.5000 0.0000  4 Pr 2.73-2.75
Cl 0.2305 0.5000 0.5000  4 Pr 2.94-2.95
Cl 0.7695 0.0000 0.0000  4 Pr 2.94-2.95
Pr 0.5319 0.7282 0.0000  3 S 2.75-2.79, 1 Cl 2.94
Pr 0.0211 0.5000 0.7671  5 S 2.73-2.92, 1 Cl 2.95
Pr 0.4681 0.7718 0.5000  3 S 2.75-2.79, 1 Cl 2.94
Pr 0.5319 0.2718 0.0000  3 S 2.75-2.79, 1 Cl 2.94
Pr 0.9789 0.0000 0.7329  5 S 2.73-2.92, 1 Cl 2.95
Pr 0.9789 0.0000 0.2671  5 S 2.73-2.92, 1 Cl 2.95
Pr 0.0211 0.5000 0.2329  5 S 2.73-2.92, 1 Cl 2.95
Pr 0.4681 0.2282 0.5000  3 S 2.75-2.79, 1 Cl 2.94

Entry 5:
A plane-wave DFT calculation with PBE-GGA was carried out for a geometry-optimized La2PtAu2 structure.

Calculated values
- DOS(E_F): 0.47 states/eV per atom
- Calculated formation energy: -0.619 eV/atom
- SG: I4/mmm, No. 139
- Polymorph energy (0 for the lowest one): 321 meV/atom
- Total energy: -25.5 eV for the cell shown
- Size of the total moment: 0.0 μB/f.u.

a b c (Å): 5.8057 5.8057 5.7464
angles (deg): 59.66 59.66 90.00
Closest atoms and distances in Å follow each position.
Fractional coordinates of all 5 atoms:
La 0.2500 0.7500 0.5000  4 Au 2.99
La 0.7500 0.2500 0.5000  4 Au 2.99
Pt 0.0000 0.0000 0.0000  2 Au 2.73
Au 0.3398 0.3398 0.3204  1 Au 2.58, 1 Pt 2.73
Au 0.6602 0.6602 0.6796  1 Au 2.58, 1 Pt 2.73

Entry 6:
A plane-wave DFT calculation with PBE-GGA was carried out for a geometry-optimized Th5Sb3Au12 structure.

Calculated values
- DOS(E_F): 0.82 states/eV per atom
- ΔE_f (raw): -0.0656 eV per atom
- SG: Ia-3d, No. 230
- Total energy: -360.4 eV for the cell shown
- Size of the total moment: 0.0 μB/f.u.

a b c (Å): 14.5218 14.5218 14.5218
angles (deg): 109.47 109.47 109.47
Closest atoms and distances in Å follow each position.
Fractional coordinates of all 80 atoms:
Th 0.7500 0.6250 0.3750  4 Au 2.87
Th 0.8750 0.6250 0.7500  4 Au 2.87
Th 0.5000 0.0000 0.0000  6 Au 2.94
Th 0.0000 0.0000 0.0000  6 Au 2.94
Th 0.0000 0.5000 0.0000  6 Au 2.94
Th 0.1250 0.3750 0.2500  4 Au 2.87
Th 0.2500 0.8750 0.1250  4 Au 2.87
Th 0.6250 0.8750 0.2500  4 Au 2.87
Th 0.3750 0.1250 0.7500  4 Au 2.87
Th 0.8750 0.2500 0.6250  4 Au 2.87
Th 0.0000 0.5000 0.5000  6 Au 2.94
Th 0.2500 0.3750 0.6250  4 Au 2.87
Th 0.0000 0.0000 0.5000  6 Au 2.94
Th 0.3750 0.2500 0.1250  4 Au 2.87
Th 0.1250 0.7500 0.3750  4 Au 2.87
Th 0.6250 0.7500 0.8750  4 Au 2.87
Th 0.5000 0.0000 0.5000  6 Au 2.94
Th 0.5000 0.5000 0.5000  6 Au 2.94
Th 0.7500 0.1250 0.8750  4 Au 2.87
Th 0.5000 0.5000 0.0000  6 Au 2.94
Au 0.0701 0.9055 0.1424  2 Sb 2.84-3.13, 2 Th 2.87-2.94, 1 Au 2.91
Au 0.2630 0.4055 0.8354  2 Sb 2.84-3.13, 2 Th 2.87-2.94, 1 Au 2.91
Au 0.5945 0.8576 0.4299  2 Sb 2.84-3.13, 2 Th 2.87-2.94, 1 Au 2.91
Au 0.8576 0.2630 0.4276  2 Sb 2.84-3.13, 2 Th 2.87-2.94, 1 Au 2.91
Au 0.3354 0.5724 0.4299  2 Sb 2.84-3.13, 2 Th 2.87-2.94, 1 Au 2.91
Au 0.9299 0.8354 0.5724  2 Sb 2.84-3.13, 2 Th 2.87-2.94, 1 Au 2.91
Au 0.9055 0.8354 0.7630  2 Sb 2.84-3.13, 2 Th 2.87-2.94, 1 Au 2.91
Au 0.0945 0.1646 0.2370  2 Sb 2.84-3.13, 2 Th 2.87-2.94, 1 Au 2.91
Au 0.5724 0.3354 0.9299  2 Sb 2.84-3.13, 2 Th 2.87-2.94, 1 Au 2.91
Au 0.8354 0.9055 0.2630  2 Sb 2.84-3.13, 2 Th 2.87-2.94, 1 Au 2.91
Au 0.6646 0.4276 0.5701  2 Sb 2.84-3.13, 2 Th 2.87-2.94, 1 Au 2.91
Au 0.1646 0.0701 0.9276  2 Sb 2.84-3.13, 2 Th 2.87-2.94, 1 Au 2.91
Au 0.3354 0.7630 0.4055  2 Sb 2.84-3.13, 2 Th 2.87-2.94, 1 Au 2.91
Au 0.8576 0.5945 0.9299  2 Sb 2.84-3.13, 2 Th 2.87-2.94, 1 Au 2.91
Au 0.2630 0.8576 0.9276  2 Sb 2.84-3.13, 2 Th 2.87-2.94, 1 Au 2.91
Au 0.6424 0.0724 0.2370  2 Sb 2.84-3.13, 2 Th 2.87-2.94, 1 Au 2.91
Au 0.9299 0.0945 0.8576  2 Sb 2.84-3.13, 2 Th 2.87-2.94, 1 Au 2.91
Au 0.4299 0.0724 0.3354  2 Sb 2.84-3.13, 2 Th 2.87-2.94, 1 Au 2.91
Au 0.2370 0.5724 0.6424  2 Sb 2.84-3.13, 2 Th 2.87-2.94, 1 Au 2.91
Au 0.0724 0.6424 0.7370  2 Sb 2.84-3.13, 2 Th 2.87-2.94, 1 Au 2.91
Au 0.1646 0.0945 0.7370  2 Sb 2.84-3.13, 2 Th 2.87-2.94, 1 Au 2.91
Au 0.1424 0.4055 0.0701  2 Sb 2.84-3.13, 2 Th 2.87-2.94, 1 Au 2.91
Au 0.3576 0.9276 0.7630  2 Sb 2.84-3.13, 2 Th 2.87-2.94, 1 Au 2.91
Au 0.1424 0.7370 0.5724  2 Sb 2.84-3.13, 2 Th 2.87-2.94, 1 Au 2.91
Au 0.0701 0.1646 0.4276  2 Sb 2.84-3.13, 2 Th 2.87-2.94, 1 Au 2.91
Au 0.3576 0.4299 0.0945  2 Sb 2.84-3.13, 2 Th 2.87-2.94, 1 Au 2.91
Au 0.5724 0.2370 0.1424  2 Sb 2.84-3.13, 2 Th 2.87-2.94, 1 Au 2.91
Au 0.4055 0.2630 0.3354  2 Sb 2.84-3.13, 2 Th 2.87-2.94, 1 Au 2.91
Au 0.7630 0.3354 0.9055  2 Sb 2.84-3.13, 2 Th 2.87-2.94, 1 Au 2.91
Au 0.6424 0.5701 0.9055  2 Sb 2.84-3.13, 2 Th 2.87-2.94, 1 Au 2.91
Au 0.9276 0.5701 0.1646  2 Sb 2.84-3.13, 2 Th 2.87-2.94, 1 Au 2.91
Au 0.5945 0.7370 0.6646  2 Sb 2.84-3.13, 2 Th 2.87-2.94, 1 Au 2.91
Au 0.5701 0.6424 0.4055  2 Sb 2.84-3.13, 2 Th 2.87-2.94, 1 Au 2.91
Au 0.7370 0.5945 0.1646  2 Sb 2.84-3.13, 2 Th 2.87-2.94, 1 Au 2.91
Au 0.4055 0.1424 0.5701  2 Sb 2.84-3.13, 2 Th 2.87-2.94, 1 Au 2.91
Au 0.8354 0.9299 0.0724  2 Sb 2.84-3.13, 2 Th 2.87-2.94, 1 Au 2.91
Au 0.9055 0.0701 0.6424  2 Sb 2.84-3.13, 2 Th 2.87-2.94, 1 Au 2.91
Au 0.9276 0.3576 0.2630  2 Sb 2.84-3.13, 2 Th 2.87-2.94, 1 Au 2.91
Au 0.0945 0.9299 0.3576  2 Sb 2.84-3.13, 2 Th 2.87-2.94, 1 Au 2.91
Au 0.4299 0.3576 0.5945  2 Sb 2.84-3.13, 2 Th 2.87-2.94, 1 Au 2.91
Au 0.7370 0.1424 0.0724  2 Sb 2.84-3.13, 2 Th 2.87-2.94, 1 Au 2.91
Au 0.0724 0.4299 0.8354  2 Sb 2.84-3.13, 2 Th 2.87-2.94, 1 Au 2.91
Au 0.4276 0.7630 0.8576  2 Sb 2.84-3.13, 2 Th 2.87-2.94, 1 Au 2.91
Au 0.4276 0.6646 0.0701  2 Sb 2.84-3.13, 2 Th 2.87-2.94, 1 Au 2.91
Au 0.2370 0.6646 0.0945  2 Sb 2.84-3.13, 2 Th 2.87-2.94, 1 Au 2.91
Au 0.6646 0.2370 0.5945  2 Sb 2.84-3.13, 2 Th 2.87-2.94, 1 Au 2.91
Au 0.7630 0.4276 0.3576  2 Sb 2.84-3.13, 2 Th 2.87-2.94, 1 Au 2.91
Au 0.5701 0.9276 0.6646  2 Sb 2.84-3.13, 2 Th 2.87-2.94, 1 Au 2.91
Sb 0.6250 0.3750 0.7500  8 Au 2.84-3.13
Sb 0.2500 0.6250 0.8750  8 Au 2.84-3.13
Sb 0.8750 0.7500 0.1250  8 Au 2.84-3.13
Sb 0.6250 0.2500 0.3750  8 Au 2.84-3.13
Sb 0.2500 0.1250 0.3750  8 Au 2.84-3.13
Sb 0.7500 0.8750 0.6250  8 Au 2.84-3.13
Sb 0.8750 0.1250 0.2500  8 Au 2.84-3.13
Sb 0.1250 0.8750 0.7500  8 Au 2.84-3.13
Sb 0.3750 0.6250 0.2500  8 Au 2.84-3.13
Sb 0.1250 0.2500 0.8750  8 Au 2.84-3.13
Sb 0.3750 0.7500 0.6250  8 Au 2.84-3.13
Sb 0.7500 0.3750 0.1250  8 Au 2.84-3.13

Please write out number 1 again, unchanged.
A plane-wave DFT calculation with PBE-GGA was carried out for a geometry-optimized LaDy2Ho5Tm structure.

Calculated values
- DOS(E_F): 1.33 states/eV per atom
- Calculated formation energy: 0.290 eV/atom
- SG: I4/mcm, No. 140
- Total energy: -77.8 eV for the cell shown
- Size of the total moment: 0.0 μB/f.u.

a b c (Å): 8.9740 8.9740 9.6689
angles (deg): 117.65 117.65 90.00
Closest atoms and distances in Å follow each position.
Fractional coordinates of all 18 atoms:
Ho 0.4258 0.3348 0.2606  1 Dy 3.01, 1 Tm 3.13
Ho 0.6652 0.1652 0.7394  1 Dy 3.01, 1 Tm 3.13
Ho 0.9258 0.4258 0.2606  1 Dy 3.01, 1 Tm 3.13
Ho 0.0000 0.0000 0.0000  4 Dy 3.62, 2 La 3.65, 8 Ho 3.74
Ho 0.8348 0.9258 0.2606  1 Dy 3.01, 1 Tm 3.13
Ho 0.3348 0.8348 0.2606  1 Dy 3.01, 1 Tm 3.13
Ho 0.5742 0.6652 0.7394  1 Dy 3.01, 1 Tm 3.13
Ho 0.0742 0.5742 0.7394  1 Dy 3.01, 1 Tm 3.13
Ho 0.1652 0.0742 0.7394  1 Dy 3.01, 1 Tm 3.13
Ho 0.5000 0.5000 0.0000  4 Dy 3.62, 2 La 3.65, 8 Ho 3.74
Tm 0.7500 0.2500 0.5000  4 Ho 3.13
Tm 0.2500 0.7500 0.5000  4 Ho 3.13
Dy 0.8879 0.6121 0.0000  1 Dy 2.85, 2 Ho 3.01
Dy 0.3879 0.8879 0.0000  1 Dy 2.85, 2 Ho 3.01
Dy 0.6121 0.1121 0.0000  1 Dy 2.85, 2 Ho 3.01
Dy 0.1121 0.3879 0.0000  1 Dy 2.85, 2 Ho 3.01
La 0.7500 0.7500 0.5000  10 Ho 3.65-3.67
La 0.2500 0.2500 0.5000  10 Ho 3.65-3.67

Look up the total energy of the fourth one. -120.4 eV for the cell shown

Which of these has the highest size of the total moment? Pr4S5Cl